Entry 1:
First-principles (GGA-PBE) data for a relaxed Ru5Br4 crystal, as listed in the Alexandria database.

Values from the calculation:
Energy (eV per atom): -5.1713
N(E_F) (states/eV/atom): 1.156
Crystal system: tetragonal

Cell: 10.9527 10.9527 3.1428 Å, 90.00 90.00 90.00°
With the nearest neighbours (Å) after each atom.
Space group I4/mmm (No. 139)
Inequivalent atoms, fractional coordinates:
Ru1 0.0000 0.0000 0.0000 x2  8 Ru 2.56
Ru2 0.1307 0.1307 0.5000 x8  4 Ru 2.56-2.86, 4 Br 2.71
Br1 0.0000 0.2837 0.0000 x8  4 Ru 2.71

Entry 2:
First-principles (GGA-PBE) data for a relaxed LaTe2C crystal, as listed in the Alexandria database.

Values from the calculation:
Energy (eV per atom): -4.9157
N(E_F) (states/eV/atom): 0.839
Crystal system: tetragonal

Cell: 9.6975 9.6975 5.2473 Å, 90.00 90.00 90.00°
With the nearest neighbours (Å) after each atom.
Space group I4_1/amd (No. 141, origin choice 2)
Inequivalent atoms, fractional coordinates:
La1 0.0000 0.2500 0.3750 x4  2 C 2.62
Te1 0.0000 0.0000 0.0000 x8  2 C 2.51
C1 0.0000 0.2500 0.8750 x4  4 Te 2.51, 2 La 2.62

Entry 3:
First-principles (GGA-PBE) data for a relaxed Ti4AgPt crystal, as listed in the Alexandria database.

Values from the calculation:
N(E_F) (states/eV/atom): 0.624
Formation enthalpy at 0 K (eV per atom): -0.35
Crystal system: tetragonal

Cell: 2.9568 2.9568 11.5072 Å, 90.00 90.00 90.00°
With the nearest neighbours (Å) after each atom.
Space group P4/mmm (No. 123)
Inequivalent atoms, fractional coordinates:
Ti1 0.0000 0.0000 0.1594 x2  4 Pt 2.78, 8 Ti 2.81-2.96
Ti2 0.5000 0.5000 0.3221 x2  8 Ti 2.81-2.96, 4 Ag 2.93
Ag1 0.0000 0.0000 0.5000 x1  8 Ti 2.93, 4 Ag 2.96
Pt1 0.5000 0.5000 0.0000 x1  8 Ti 2.78, 4 Pt 2.96

Entry 4:
First-principles (GGA-PBE) data for a relaxed SrLaRu2N crystal, as listed in the Alexandria database.

Values from the calculation:
Energy (eV per atom): -4.1261
N(E_F) (states/eV/atom): 0.875
Crystal system: tetragonal

Cell: 4.6545 4.6545 6.5183 Å, 90.00 90.00 90.00°
With the nearest neighbours (Å) after each atom.
Space group P4/mmm (No. 123)
Inequivalent atoms, fractional coordinates:
Sr1 0.0000 0.0000 0.0000 x1  4 Ru 2.33
La1 0.0000 0.0000 0.5000 x1  2 Sr 3.26, 4 N 3.29
Ru1 0.0000 0.5000 0.0000 x2  2 Sr 2.33
N1 0.5000 0.5000 0.5000 x1  4 La 3.29

Entry 5:
First-principles (GGA-PBE) data for a relaxed BaPtIO2 crystal, as listed in the Alexandria database.

Values from the calculation:
Energy (eV per atom): -4.4720
N(E_F) (states/eV/atom): 0.937
Crystal system: tetragonal

Cell: 4.5374 4.5374 5.1702 Å, 90.00 90.00 90.00°
With the nearest neighbours (Å) after each atom.
Space group P4/mmm (No. 123)
Inequivalent atoms, fractional coordinates:
Ba1 0.0000 0.0000 0.0000 x1  4 I 3.21, 8 O 3.44
Pt1 0.5000 0.5000 0.5000 x1  4 O 2.27
I1 0.5000 0.5000 0.0000 x1  2 Pt 2.59
O1 0.0000 0.5000 0.5000 x2  2 Pt 2.27

Entry 6:
First-principles (GGA-PBE) data for a relaxed NdTmPa crystal, as listed in the Alexandria database.

Values from the calculation:
N(E_F) (states/eV/atom): 1.665
Formation enthalpy at 0 K (eV per atom): 0.17
Crystal system: tetragonal

Cell: 3.4098 3.4098 15.3422 Å, 90.00 90.00 90.00°
With the nearest neighbours (Å) after each atom.
Space group I4mm (No. 107)
Inequivalent atoms, fractional coordinates:
Nd1 0.0000 0.0000 0.0000 x2  4 Nd 3.41, 4 Pa 3.44, 4 Tm 3.77
Tm1 0.0000 0.0000 0.6886 x2  4 Pa 3.35, 4 Tm 3.41
Pa1 0.0000 0.0000 0.3405 x2  4 Tm 3.35, 4 Pa 3.41, 4 Nd 3.44

Entry 7:
First-principles (GGA-PBE) data for a relaxed SrRuSe crystal, as listed in the Alexandria database.

Values from the calculation:
Energy (eV per atom): -5.0332
N(E_F) (states/eV/atom): 0.910
Crystal system: tetragonal

Cell: 3.4433 3.4433 11.0372 Å, 90.00 90.00 90.00°
With the nearest neighbours (Å) after each atom.
Space group I4mm (No. 107)
Inequivalent atoms, fractional coordinates:
Sr1 0.0000 0.0000 0.0000 x2  5 Se 3.18-3.38, 5 Ru 3.26-3.32, 4 Sr 3.44
Ru1 0.0000 0.0000 0.7045 x2  4 Se 2.60
Se1 0.0000 0.0000 0.2882 x2  4 Ru 2.60

Entry 8:
First-principles (GGA-PBE) data for a relaxed Tb3TlS6 crystal, as listed in the Alexandria database.

Values from the calculation:
Energy (eV per atom): -5.6760
Crystal system: orthorhombic

Cell: 10.7646 13.4863 6.6773 Å, 90.00 90.00 90.00°
With the nearest neighbours (Å) after each atom.
Space group Cmc2_1 (No. 36)
Inequivalent atoms, fractional coordinates:
Tb1 0.0000 0.0942 0.0000 x4  7 S 2.76-2.94
Tb2 0.1869 0.4021 0.0904 x8  7 S 2.72-2.98
Tl1 0.0000 0.2983 0.6081 x4  4 S 2.50-2.62
S1 0.0000 0.2787 0.2356 x4  1 Tl 2.50, 2 Tb 2.79
S2 0.0000 0.4702 0.7921 x4  1 Tl 2.62
S3 0.1625 0.0314 0.2931 x8  4 Tb 2.72-2.80
S4 0.1749 0.2269 0.8273 x8  1 Tl 2.57, 2 Tb 2.78-2.84

Entry 9:
First-principles (GGA-PBE) data for a relaxed K2CeWN4 crystal, as listed in the Alexandria database.

Values from the calculation:
Energy (eV per atom): -7.4916
Crystal system: orthorhombic

Cell: 7.1163 7.5818 5.9881 Å, 90.00 90.00 90.00°
With the nearest neighbours (Å) after each atom.
Space group Pmn2_1 (No. 31)
Inequivalent atoms, fractional coordinates:
K1 0.2449 0.1511 0.0000 x4  4 N 2.68-2.84
Ce1 0.0000 0.3764 0.4820 x2  4 N 2.16-2.29
W1 0.0000 0.6573 0.9720 x2  4 N 1.87-1.91
N1 0.0000 0.4345 0.1100 x2  1 W 1.88
N2 0.0000 0.6228 0.6625 x2  1 W 1.87
N3 0.2276 0.7790 0.0377 x4  1 W 1.91

Entry 10:
First-principles (GGA-PBE) data for a relaxed Pr2Sm5Bi4 crystal, as listed in the Alexandria database.

Values from the calculation:
N(E_F) (states/eV/atom): 1.357
Formation enthalpy at 0 K (eV per atom): -0.39
Crystal system: monoclinic

Cell: 23.6705 4.1566 8.1235 Å, 90.00 98.78 90.00°
With the nearest neighbours (Å) after each atom.
Space group C2/m (No. 12)
Inequivalent atoms, fractional coordinates:
Pr1 0.0575 0.0000 0.3759 x4  4 Bi 3.23-3.33
Sm1 0.0000 0.5000 0.0000 x2  4 Bi 3.39, 4 Pr 3.77
Sm2 0.1885 0.0000 0.0751 x4  3 Bi 3.20-3.23, 1 Sm 3.53
Sm3 0.2021 0.0000 0.6484 x4  4 Bi 3.23-3.34, 1 Sm 3.53
Bi1 0.0770 0.0000 0.7911 x4  4 Sm 3.23-3.39, 2 Pr 3.26-3.33
Bi2 0.1603 0.5000 0.3501 x4  5 Sm 3.20-3.26, 2 Pr 3.23

Entry 11:
First-principles (GGA-PBE) data for a relaxed AgTeBr2 crystal, as listed in the Alexandria database.

Values from the calculation:
Energy (eV per atom): -2.1629
N(E_F) (states/eV/atom): 0.851
Crystal system: tetragonal

Cell: 3.4424 3.4424 8.5591 Å, 90.00 90.00 90.00°
With the nearest neighbours (Å) after each atom.
Space group P4/mmm (No. 123)
Inequivalent atoms, fractional coordinates:
Ag1 0.0000 0.0000 0.0000 x1  8 Br 3.03
Te1 0.0000 0.0000 0.5000 x1  4 Te 3.44, 8 Br 3.47
Br1 0.5000 0.5000 0.2111 x2  4 Ag 3.03

Entry 12:
First-principles (GGA-PBE) data for a relaxed MnFeP2 crystal, as listed in the Alexandria database.

Values from the calculation:
N(E_F) (states/eV/atom): 0.699
Formation enthalpy at 0 K (eV per atom): -0.40
Crystal system: orthorhombic

Cell: 2.9857 4.7708 6.4710 Å, 90.00 90.00 90.00°
With the nearest neighbours (Å) after each atom.
Space group Imm2 (No. 44)
Inequivalent atoms, fractional coordinates:
Mn1 0.0000 0.0000 0.0000 x2  6 P 2.26-2.32
Fe1 0.0000 0.0000 0.5905 x2  6 P 2.25-2.33
P1 0.0000 0.2503 0.2964 x4  3 Fe 2.25-2.33, 3 Mn 2.26-2.32, 2 P 2.38-2.39

Repeat the seventh record exactly.
First-principles (GGA-PBE) data for a relaxed SrRuSe crystal, as listed in the Alexandria database.

Values from the calculation:
Energy (eV per atom): -5.0332
N(E_F) (states/eV/atom): 0.910
Crystal system: tetragonal

Cell: 3.4433 3.4433 11.0372 Å, 90.00 90.00 90.00°
With the nearest neighbours (Å) after each atom.
Space group I4mm (No. 107)
Inequivalent atoms, fractional coordinates:
Sr1 0.0000 0.0000 0.0000 x2  5 Se 3.18-3.38, 5 Ru 3.26-3.32, 4 Sr 3.44
Ru1 0.0000 0.0000 0.7045 x2  4 Se 2.60
Se1 0.0000 0.0000 0.2882 x2  4 Ru 2.60

> Number 9 is which compound?

K2CeWN4